Below is a relaxed structure of Sm3Se3O2, with properties calculated at the GGA-PBE level.

POSCAR file:
```
Sm3Se3O2
1.0
3.9564 0.0000 0.0000
-1.9782 6.5306 0.0000
0.0000 0.0000 13.3754
Sm Se O
6 6 4
Direct
0.6447 0.2895 0.4584 Sm
0.3553 0.7105 0.9584 Sm
0.6447 0.2895 0.0416 Sm
0.3553 0.7105 0.5416 Sm
0.3074 0.6148 0.2500 Sm
0.6926 0.3852 0.7500 Sm
0.9590 0.9180 0.3858 Se
0.0410 0.0820 0.8858 Se
0.9590 0.9180 0.1142 Se
0.0410 0.0820 0.6142 Se
0.6541 0.3081 0.2500 Se
0.3459 0.6919 0.7500 Se
0.7637 0.5274 0.9196 O
0.2363 0.4726 0.4196 O
0.7637 0.5274 0.5804 O
0.2363 0.4726 0.0804 O
```

Output
Total moment ... 0.0000 μB/atom
Formation energy without anion corrections ... -2.343 eV per atom